ScHgPbCl6: optimized geometry, PBE.

Computed properties:
Formation energy from raw total energies (eV per formula unit): -11.988
Electronic total energy (eV/cell): -33.4
Symmetry: No. 143
DOS at the Fermi energy (states/eV/f.u.): 4.558

POSCAR file:
```
ScHgPbCl6
1.0
-5.645 2.402 -3.546
-2.888 -3.928 -5.143
-3.836 -2.743 4.244
Cl Pb Hg Sc
6 1 1 1
Direct
0.621 0.338 0.729
0.041 0.621 0.729
0.620 0.040 0.270
0.339 0.620 0.270
0.338 0.041 0.729
0.040 0.339 0.270
0.667 0.667 0.501
0.000 0.000 0.001
0.333 0.333 0.500
```